No. 1
Density functional theory data (GGA-PBE) for a geometry-optimized Te2IrOs structure.

E, eV/cell: -21.7

a b c (Å): 4.7840 4.7840 4.7840
angles (deg): 60.00 60.00 60.00
With the nearest neighbours (Å) after each atom.
Fractional positions:
Ir 0.2500 0.2500 0.2500  4 Te 2.93, 4 Os 2.93
Os 0.5000 0.5000 0.5000  4 Te 2.93, 4 Ir 2.93
Te 0.0000 0.0000 0.0000  4 Te 2.93, 4 Ir 2.93
Te 0.7500 0.7500 0.7500  4 Os 2.93, 4 Te 2.93


No. 2
Density functional theory data (GGA-PBE) for a geometry-optimized TlIrOs2 structure.

E, eV/cell: -29.5

a b c (Å): 4.5236 4.5236 4.5236
angles (deg): 60.00 60.00 60.00
With the nearest neighbours (Å) after each atom.
Fractional positions:
Ir 0.2500 0.2500 0.2500  4 Os 2.77, 4 Tl 2.77
Os 0.0000 0.0000 0.0000  4 Ir 2.77, 4 Os 2.77
Os 0.7500 0.7500 0.7500  4 Os 2.77, 4 Tl 2.77
Tl 0.5000 0.5000 0.5000  4 Ir 2.77, 4 Os 2.77


No. 3
Density functional theory data (GGA-PBE) for a geometry-optimized Tm2Ir3Os structure.

Energy of formation, kJ per mole of atoms: -70.86
E, eV/cell: -102.3

a b c (Å): 5.3327 5.3327 8.6372
angles (deg): 90.00 90.00 120.00
With the nearest neighbours (Å) after each atom.
Fractional positions:
Ir 0.3388 0.1694 0.2500  4 Ir 2.62-2.71, 2 Os 2.67
Ir 0.8306 0.1694 0.2500  4 Ir 2.62-2.71, 2 Os 2.67
Ir 0.8306 0.6612 0.2500  4 Ir 2.62-2.71, 2 Os 2.67
Ir 0.1694 0.3388 0.7500  4 Ir 2.62-2.71, 2 Os 2.67
Ir 0.1694 0.8306 0.7500  4 Ir 2.62-2.71, 2 Os 2.67
Ir 0.6612 0.8306 0.7500  4 Ir 2.62-2.71, 2 Os 2.67
Os 0.0000 0.0000 0.0000  6 Ir 2.67
Os 0.0000 0.0000 0.5000  6 Ir 2.67
Tm 0.3333 0.6667 0.0656  9 Ir 3.11-3.12, 3 Os 3.13, 4 Tm 3.18-3.28
Tm 0.3333 0.6667 0.4344  9 Ir 3.11-3.12, 3 Os 3.13, 4 Tm 3.18-3.28
Tm 0.6667 0.3333 0.5656  9 Ir 3.11-3.12, 3 Os 3.13, 4 Tm 3.18-3.28
Tm 0.6667 0.3333 0.9344  9 Ir 3.11-3.12, 3 Os 3.13, 4 Tm 3.18-3.28


No. 4
Density functional theory data (GGA-PBE) for a geometry-optimized Tm2IrOs3 structure.

Energy of formation, kJ per mole of atoms: -48.21
E, eV/cell: -109.0

a b c (Å): 5.2470 5.2470 8.9100
angles (deg): 90.00 90.00 120.00
With the nearest neighbours (Å) after each atom.
Fractional positions:
Ir 0.0000 0.0000 0.0000  6 Os 2.72
Ir 0.0000 0.0000 0.5000  6 Os 2.72
Os 0.3425 0.1713 0.2500  4 Os 2.55-2.70, 2 Ir 2.72
Os 0.8287 0.1713 0.2500  4 Os 2.55-2.70, 2 Ir 2.72
Os 0.8287 0.6575 0.2500  4 Os 2.55-2.70, 2 Ir 2.72
Os 0.1713 0.3425 0.7500  4 Os 2.55-2.70, 2 Ir 2.72
Os 0.1713 0.8287 0.7500  4 Os 2.55-2.70, 2 Ir 2.72
Os 0.6575 0.8287 0.7500  4 Os 2.55-2.70, 2 Ir 2.72
Tm 0.3333 0.6667 0.0680  9 Os 3.08-3.19, 3 Ir 3.09, 4 Tm 3.24-3.26
Tm 0.3333 0.6667 0.4320  9 Os 3.08-3.19, 3 Ir 3.09, 4 Tm 3.24-3.26
Tm 0.6667 0.3333 0.5680  9 Os 3.08-3.19, 3 Ir 3.09, 4 Tm 3.24-3.26
Tm 0.6667 0.3333 0.9320  9 Os 3.08-3.19, 3 Ir 3.09, 4 Tm 3.24-3.26